[1]
! Nd7YEr12, optimized geometry, DFT PBE; values from VASP
&SYSTEM
  ibrav = 0, nat = 20, ntyp = 3
/
ATOMIC_SPECIES
Nd 144.24 Nd.upf
Y 88.91 Y.upf
Er 167.26 Er.upf
ATOMIC_POSITIONS crystal
Nd 0.0000 0.0000 0.5000
Nd 0.0000 0.5000 0.0000
Nd 0.0000 0.5000 0.5000
Nd 0.5000 0.0000 0.0000
Nd 0.5000 0.0000 0.5000
Nd 0.5000 0.5000 0.0000
Nd 0.5000 0.5000 0.5000
Y 0.0000 0.0000 0.0000
Er 0.0000 0.2477 0.7523
Er 0.0000 0.7523 0.2477
Er 0.2477 0.0000 0.7523
Er 0.2477 0.2477 0.4954
Er 0.2477 0.4954 0.2477
Er 0.2477 0.7523 0.0000
Er 0.4954 0.2477 0.2477
Er 0.5046 0.7523 0.7523
Er 0.7523 0.0000 0.2477
Er 0.7523 0.2477 0.0000
Er 0.7523 0.5046 0.7523
Er 0.7523 0.7523 0.5046
CELL_PARAMETERS angstrom
-5.6304 5.6304 5.6304
5.6304 -5.6304 5.6304
5.6304 5.6304 -5.6304
! Symmetry: Im-3m, No. 229
! Spin magnetization, μB per formula unit: 0.00
! Density, g/cm³: 7.22
! ΔE to the lowest computed polymorph, eV/atom: 0.421
! Formation enthalpy at 0 K, eV/f.u.: 13.036
! Volume, Å³/atom: 35.698
! DFT total energy, eV per formula unit: -81.557


[2]
! B5C7, optimized geometry, DFT PBE; values from VASP
&SYSTEM
  ibrav = 0, nat = 12, ntyp = 2
/
ATOMIC_SPECIES
B 10.81 B.upf
C 12.01 C.upf
ATOMIC_POSITIONS crystal
B 0.0000 0.0000 0.0000
B 0.0695 0.2408 0.4950
B 0.1997 0.5896 0.6235
B 0.4362 0.3073 0.7726
B 0.8945 0.5742 0.2996
C 0.2488 0.7996 0.1337
C 0.4118 0.0364 0.2932
C 0.5498 0.5490 0.9765
C 0.5525 0.8089 0.4730
C 0.7136 0.0185 0.6426
C 0.7169 0.2971 0.1412
C 0.8639 0.7869 0.8070
CELL_PARAMETERS angstrom
3.7261 0.0000 0.0000
0.0246 3.9008 0.0000
1.6137 0.0326 5.4617
! Symmetry: P1, No. 1
! Spin magnetization, μB per formula unit: 0.00
! Density, g/cm³: 2.89
! ΔE to the lowest computed polymorph, eV/atom: 0.115
! Formation enthalpy at 0 K, eV/f.u.: 4.470
! Volume, Å³/atom: 6.615
! DFT total energy, eV per formula unit: -93.485


[3]
! Bi2PPd, optimized geometry, DFT PBE; values from VASP
&SYSTEM
  ibrav = 0, nat = 16, ntyp = 3
/
ATOMIC_SPECIES
Bi 208.98 Bi.upf
P 30.97 P.upf
Pd 106.42 Pd.upf
ATOMIC_POSITIONS crystal
Bi 0.2434 0.2500 0.1250
Bi 0.2500 0.7434 0.3750
Bi 0.2500 0.7566 0.8750
Bi 0.2566 0.2500 0.6250
Bi 0.7434 0.7500 0.6250
Bi 0.7500 0.2434 0.8750
Bi 0.7500 0.2566 0.3750
Bi 0.7566 0.7500 0.1250
P 0.0000 0.0000 0.5000
P 0.0000 0.5000 0.7500
P 0.5000 0.0000 0.2500
P 0.5000 0.5000 0.0000
Pd 0.0000 0.0000 0.0000
Pd 0.0000 0.5000 0.2500
Pd 0.5000 0.0000 0.7500
Pd 0.5000 0.5000 0.5000
CELL_PARAMETERS angstrom
6.3867 0.0000 0.0000
0.0000 6.3867 0.0000
0.0000 0.0000 12.0737
! Symmetry: I-42d, No. 122
! Spin magnetization, μB per formula unit: 0.00
! Density, g/cm³: 7.49
! Formation enthalpy at 0 K, eV/f.u.: 0.444
! Volume, Å³/atom: 30.780
! DFT total energy, eV per formula unit: -17.920